--- one ---
Entry from Alexandria via LeMat-Bulk: a relaxed structure of Ag2IrRu (PBE).

Unit cell a=2.712 b=4.404 c=5.395 alpha=90.00 beta=90.00 gamma=90.00
Positions (direct):
Ag  0.000  0.000  0.250
Ag  0.000  0.000  0.750
Ir  0.500  0.500  0.000
Ru  0.500  0.500  0.500

- Total magnetic moment: 2.20 μB/f.u.
- Density of states at the Fermi level: 4.74 states/eV/cell
- Space-group type: No. 47


--- two ---
Entry from Alexandria via LeMat-Bulk: a relaxed structure of Ag2IrRu (PBE).

Unit cell a=5.854 b=5.854 c=5.854 alpha=101.02 beta=101.02 gamma=128.14
Positions (direct):
Ag  0.123  0.625  0.998
Ag  0.375  0.373  0.498
Ag  0.627  0.125  0.002
Ag  0.875  0.877  0.502
Ir  0.000  0.000  0.000
Ir  0.750  0.250  0.500
Ru  0.250  0.750  0.500
Ru  0.500  0.500  0.000

- Total magnetic moment: 1.15 μB/f.u.
- Density of states at the Fermi level: 12.29 states/eV/cell
- Space-group type: No. 122


Energy relative to the most stable one, in meV per atom: one 0; two 509


--- one ---
Entry from Alexandria via LeMat-Bulk: a relaxed structure of Ag2IrRu (PBE).

Unit cell a=3.826 b=3.826 c=4.413 alpha=90.00 beta=90.00 gamma=90.00
Positions (direct):
Ag  0.000  0.500  0.000
Ag  0.500  0.000  0.000
Ir  0.000  0.000  0.500
Ru  0.500  0.500  0.500

- Total magnetic moment: 2.50 μB/f.u.
- Density of states at the Fermi level: 4.62 states/eV/cell
- Space-group type: No. 123


--- two ---
Entry from Alexandria via LeMat-Bulk: a relaxed structure of Ag2IrRu (PBE).

Unit cell a=2.737 b=2.737 c=9.839 alpha=90.00 beta=90.00 gamma=119.02
Positions (direct):
Ag  0.000  0.000  0.249
Ag  0.000  0.000  0.751
Ir  0.500  0.500  0.500
Ru  0.500  0.500  0.000

- Total magnetic moment: 1.14 μB/f.u.
- Density of states at the Fermi level: 5.24 states/eV/cell
- Space-group type: No. 65


--- three ---
Entry from Alexandria via LeMat-Bulk: a relaxed structure of Ag2IrRu (PBE).

Unit cell a=9.748 b=9.748 c=9.748 alpha=16.26 beta=16.26 gamma=16.26
Positions (direct):
Ag  0.249  0.249  0.249
Ag  0.751  0.751  0.751
Ir  0.000  0.000  0.000
Ru  0.500  0.500  0.500

- Total magnetic moment: 0.56 μB/f.u.
- Density of states at the Fermi level: 4.10 states/eV/cell
- Space-group type: No. 166


Energy relative to the most stable one, in meV per atom: one 149; two 64; three 0


--- one ---
Entry from Alexandria via LeMat-Bulk: a relaxed structure of AgIrRu2 (PBE).

Unit cell a=5.602 b=5.602 c=5.602 alpha=151.60 beta=131.39 gamma=57.26
Positions (direct):
Ag  0.000  0.000  0.000
Ir  0.500  0.500  0.000
Ru  0.277  0.777  0.500
Ru  0.723  0.223  0.500

- Total magnetic moment: 0.00 μB/f.u.
- Density of states at the Fermi level: 4.02 states/eV/cell
- Space-group type: No. 71


--- two ---
Entry from Alexandria via LeMat-Bulk: a relaxed structure of AgIrRu2 (PBE).

Unit cell a=4.825 b=4.825 c=4.825 alpha=132.78 beta=132.78 gamma=69.00
Positions (direct):
Ag  0.000  0.000  0.000
Ir  0.250  0.750  0.500
Ru  0.500  0.500  0.000
Ru  0.750  0.250  0.500

- Total magnetic moment: 0.00 μB/f.u.
- Density of states at the Fermi level: 5.14 states/eV/cell
- Space-group type: No. 119


Energy relative to the most stable one, in meV per atom: one 43; two 0